## Pu4PaIn15 (GGA-PBE)

Data for Pu4PaIn15 after structural relaxation.

abc: 4.659 4.659 23.229
angles: 90.00 90.00 90.00
Positions (direct):
1 Pu 0.000 0.000 0.100
2 Pu 0.000 0.000 0.300
3 Pu 0.000 0.000 0.700
4 Pu 0.000 0.000 0.900
5 Pa 0.000 0.000 0.500
6 In 0.000 0.500 0.000
7 In 0.000 0.500 0.200
8 In 0.000 0.500 0.400
9 In 0.000 0.500 0.600
10 In 0.000 0.500 0.800
11 In 0.500 0.000 0.000
12 In 0.500 0.000 0.200
13 In 0.500 0.000 0.400
14 In 0.500 0.000 0.600
15 In 0.500 0.000 0.800
16 In 0.500 0.500 0.100
17 In 0.500 0.500 0.300
18 In 0.500 0.500 0.500
19 In 0.500 0.500 0.700
20 In 0.500 0.500 0.900

Calculated values
**Symmetry**: P4/mmm, No. 123
**V**: 504.3 Å³ per cell
**Total energy**: -0.4117 Ry per atom



## Pu2Pa15In2 (GGA-PBE)

Data for Pu2Pa15In2 after structural relaxation.

abc: 7.955 7.955 7.955
angles: 82.30 82.30 82.30
Positions (direct):
1 Pu 0.142 0.142 0.142
2 Pu 0.858 0.858 0.858
3 Pa 0.000 0.000 0.500
4 Pa 0.000 0.330 0.670
5 Pa 0.000 0.500 0.000
6 Pa 0.000 0.670 0.330
7 Pa 0.181 0.661 0.661
8 Pa 0.330 0.000 0.670
9 Pa 0.330 0.670 0.000
10 Pa 0.339 0.339 0.819
11 Pa 0.339 0.819 0.339
12 Pa 0.500 0.000 0.000
13 Pa 0.661 0.181 0.661
14 Pa 0.661 0.661 0.181
15 Pa 0.670 0.000 0.330
16 Pa 0.670 0.330 0.000
17 Pa 0.819 0.339 0.339
18 In 0.368 0.368 0.368
19 In 0.632 0.632 0.632

Calculated values
**Symmetry**: R-3m, No. 166
**V**: 490.8 Å³ per cell
**Total energy**: -0.6650 Ry per atom



> Which of these has the highest V?

Pu4PaIn15